# SrZn2NiSn

A relaxed SrZn2NiSn crystal (GGA-PBE, the Alexandria database).

Lattice parameters (Å, degrees): 4.770 4.770 4.903 90.00 90.00 90.00
Fractional coordinates of all 5 atoms:
Ni (0.000, 0.000, 0.000)
Sr (0.500, 0.500, 0.500)
Sn (0.000, 0.000, 0.500)
Zn (0.500, 0.000, 0.000)
Zn (0.000, 0.500, 0.000)

Summary:
space group	P4/mmm
DFT formation energy	-0.237	eV/atom
total magnetization	0.00	μB/cell

# SrZn2NiSn

A relaxed SrZn2NiSn crystal (GGA-PBE, the Alexandria database).

Lattice parameters (Å, degrees): 5.180 5.180 4.868 90.00 90.00 90.00
Fractional coordinates of all 5 atoms:
Sr (0.500, 0.500, 0.500)
Zn (0.500, 0.000, 0.000)
Zn (0.000, 0.500, 0.000)
Ni (0.000, 0.000, 0.500)
Sn (0.000, 0.000, 0.000)

Summary:
space group	P4/mmm
DFT formation energy	0.199	eV/atom
total magnetization	0.00	μB/cell

# SrZnNiSn2

A relaxed SrZnNiSn2 crystal (GGA-PBE, the Alexandria database).

Lattice parameters (Å, degrees): 5.040 5.040 4.809 90.00 90.00 90.00
Fractional coordinates of all 5 atoms:
Sr (0.500, 0.500, 0.500)
Zn (0.000, 0.000, 0.500)
Sn (0.000, 0.500, 0.000)
Sn (0.500, 0.000, 0.000)
Ni (0.000, 0.000, 0.000)

Summary:
space group	P4/mmm
DFT formation energy	-0.226	eV/atom
total magnetization	0.00	μB/cell

# TaNiSn2

A relaxed TaNiSn2 crystal (GGA-PBE, the Alexandria database).

Lattice parameters (Å, degrees): 4.734 4.734 4.734 60.00 60.00 60.00
Fractional coordinates of all 4 atoms:
Ni (0.000, 0.000, 0.000)
Sn (0.250, 0.250, 0.250)
Sn (0.750, 0.750, 0.750)
Ta (0.500, 0.500, 0.500)

Summary:
space group	Fm-3m
DFT formation energy	0.361	eV/atom
total magnetization	0.00	μB/cell

# TaNiSn3

A relaxed TaNiSn3 crystal (GGA-PBE, the Alexandria database).

Lattice parameters (Å, degrees): 5.348 5.348 5.348 90.00 90.00 90.00
Fractional coordinates of all 5 atoms:
Ta (0.000, 0.000, 0.000)
Ni (0.500, 0.500, 0.500)
Sn (0.000, 0.000, 0.500)
Sn (0.500, 0.000, 0.000)
Sn (0.000, 0.500, 0.000)

Summary:
space group	Pm-3m
DFT formation energy	0.987	eV/atom
total magnetization	0.00	μB/cell

# TaNiSn2

A relaxed TaNiSn2 crystal (GGA-PBE, the Alexandria database).

Lattice parameters (Å, degrees): 3.106 3.106 9.821 80.90 80.90 60.00
Fractional coordinates of all 4 atoms:
Sn (0.099, 0.099, 0.702)
Sn (0.901, 0.901, 0.298)
Ni (0.500, 0.500, 0.500)
Ta (0.000, 0.000, 0.000)

Summary:
space group	R-3m
DFT formation energy	0.361	eV/atom
total magnetization	0.00	μB/cell